First-principles (PBE-GGA) data for a geometry-optimized SmTm2Te structure, as listed in Alexandria via LeMat-Bulk.

Space group ... Cmcm, No. 63
Uncorrected formation energy ... -636 meV per atom
Volume ... 233.5 Å³/cell
Energy above the most stable polymorph in this dataset ... 0 meV/atom
Raw total energy ... -38.69 eV/cell

Cell: 3.9391 6.3619 9.7998 Å, 90.00 90.00 108.03°
With the nearest neighbours (Å) after each atom.
Element x y z (fractional)
1 Tm 0.6358 0.2716 0.4653  3 Te 3.11-3.21, 3 Tm 3.36-3.46
2 Tm 0.3642 0.7284 0.5347  3 Te 3.11-3.21, 3 Tm 3.36-3.46
3 Tm 0.6358 0.2716 0.0347  3 Te 3.11-3.21, 3 Tm 3.36-3.46
4 Tm 0.3642 0.7284 0.9653  3 Te 3.11-3.21, 3 Tm 3.36-3.46
5 Te 0.2325 0.4651 0.2500  6 Tm 3.11-3.21, 3 Sm 3.25-3.47
6 Te 0.7675 0.5349 0.7500  6 Tm 3.11-3.21, 3 Sm 3.25-3.47
7 Sm 0.9462 0.8923 0.2500  3 Te 3.25-3.47, 4 Tm 3.56
8 Sm 0.0538 0.1077 0.7500  3 Te 3.25-3.47, 4 Tm 3.56

First-principles (PBE-GGA) data for a geometry-optimized SmTm2Te structure, as listed in Alexandria via LeMat-Bulk.

Space group ... R-3m, No. 166
Uncorrected formation energy ... -187 meV per atom
Volume ... 133.2 Å³/cell
Energy above the most stable polymorph in this dataset ... 449 meV/atom
Raw total energy ... -17.55 eV/cell

Cell: 3.7649 3.7649 11.0670 Å, 80.21 80.21 60.00°
With the nearest neighbours (Å) after each atom.
Element x y z (fractional)
1 Tm 0.1031 0.1031 0.6906  3 Te 3.00, 1 Sm 3.36
2 Tm 0.8969 0.8969 0.3094  3 Te 3.00, 1 Sm 3.36
3 Sm 0.0000 0.0000 0.0000  2 Tm 3.36
4 Te 0.5000 0.5000 0.5000  6 Tm 3.00

First-principles (PBE-GGA) data for a geometry-optimized SmTm2Te structure, as listed in Alexandria via LeMat-Bulk.

Space group ... R3m, No. 160
Uncorrected formation energy ... -503 meV per atom
Volume ... 125.9 Å³/cell
Energy above the most stable polymorph in this dataset ... 133 meV/atom
Raw total energy ... -18.82 eV/cell

Cell: 3.8483 3.8483 10.0660 Å, 78.98 78.98 59.99°
With the nearest neighbours (Å) after each atom.
Element x y z (fractional)
1 Tm 0.2619 0.2619 0.2144  3 Te 3.06
2 Tm 0.0717 0.0717 0.7850  3 Te 3.07
3 Sm 0.4999 0.4999 0.5005  6 Tm 3.57-3.58, 6 Sm 3.85
4 Te 0.6666 0.6666 0.0002  6 Tm 3.06-3.07

First-principles (PBE-GGA) data for a geometry-optimized Sm5TmTe8 structure, as listed in Alexandria via LeMat-Bulk.

Space group ... I-4, No. 82
Uncorrected formation energy ... -1354 meV per atom
Volume ... 418.6 Å³/cell
Raw total energy ... -72.15 eV/cell

Cell: 8.1625 8.1625 8.1625 Å, 109.40 109.61 109.40°
With the nearest neighbours (Å) after each atom.
Element x y z (fractional)
1 Te 0.4765 0.5996 0.2257  5 Sm 3.15-3.38, 1 Tm 3.35
2 Te 0.6261 0.4004 0.8769  5 Sm 3.15-3.38, 1 Tm 3.35
3 Te 0.1231 0.7492 0.5235  5 Sm 3.15-3.38, 1 Tm 3.35
4 Te 0.6186 0.8884 0.8698  1 Tm 3.11, 4 Sm 3.15-3.37
5 Te 0.1302 0.7489 0.0186  1 Tm 3.11, 4 Sm 3.15-3.37
6 Te 0.9814 0.1116 0.7302  1 Tm 3.11, 4 Sm 3.15-3.37
7 Te 0.7743 0.2508 0.3739  5 Sm 3.15-3.38, 1 Tm 3.35
8 Te 0.2698 0.2511 0.3814  1 Tm 3.11, 4 Sm 3.15-3.37
9 Sm 0.5000 0.0000 0.5000  8 Te 3.19-3.37
10 Sm 0.3756 0.1206 0.9925  8 Te 3.15-3.49
11 Sm 0.0075 0.3830 0.1281  8 Te 3.15-3.49
12 Sm 0.7450 0.6170 0.6244  8 Te 3.15-3.49
13 Sm 0.8719 0.8794 0.2550  8 Te 3.15-3.49
14 Tm 0.2500 0.5000 0.7500  8 Te 3.11-3.35

First-principles (PBE-GGA) data for a geometry-optimized SmTm3Te structure, as listed in Alexandria via LeMat-Bulk.

Space group ... C2/m, No. 12
Uncorrected formation energy ... -293 meV per atom
Volume ... 322.9 Å³/cell
Raw total energy ... -45.48 eV/cell

Cell: 7.7545 7.7545 7.3376 Å, 104.67 119.02 107.54°
With the nearest neighbours (Å) after each atom.
Element x y z (fractional)
1 Tm 0.2093 0.4219 0.2607  2 Te 2.98-3.20, 1 Sm 3.28
2 Tm 0.8388 0.0514 0.2607  2 Te 2.98-3.20, 1 Sm 3.28
3 Tm 0.1612 0.9486 0.7393  2 Te 2.98-3.20, 1 Sm 3.28
4 Tm 0.7907 0.5781 0.7393  2 Te 2.98-3.20, 1 Sm 3.28
5 Tm 0.7642 0.4432 0.2074  2 Te 2.96-3.23
6 Tm 0.2358 0.5568 0.7926  2 Te 2.96-3.23
7 Sm 0.7023 0.0655 0.7678  2 Te 3.10-3.24, 1 Sm 3.23, 2 Tm 3.28
8 Sm 0.2977 0.9345 0.2322  2 Te 3.10-3.24, 1 Sm 3.23, 2 Tm 3.28
9 Te 0.6204 0.7310 0.3514  6 Tm 2.96-3.23, 2 Sm 3.10-3.24
10 Te 0.3796 0.2690 0.6486  6 Tm 2.96-3.23, 2 Sm 3.10-3.24

First-principles (PBE-GGA) data for a geometry-optimized SmTm2Te structure, as listed in Alexandria via LeMat-Bulk.

Space group ... P4/mmm, No. 123
Uncorrected formation energy ... -525 meV per atom
Volume ... 116.9 Å³/cell
Energy above the most stable polymorph in this dataset ... 111 meV/atom
Raw total energy ... -18.90 eV/cell

Cell: 3.8277 3.8277 7.9776 Å, 90.00 90.00 90.00°
With the nearest neighbours (Å) after each atom.
Element x y z (fractional)
1 Tm 0.0000 0.0000 0.7781  4 Te 3.23, 4 Sm 3.50, 1 Tm 3.54
2 Tm 0.0000 0.0000 0.2219  4 Te 3.23, 4 Sm 3.50, 1 Tm 3.54
3 Te 0.5000 0.5000 0.0000  8 Tm 3.23
4 Sm 0.5000 0.5000 0.5000  8 Tm 3.50, 4 Sm 3.83

First-principles (PBE-GGA) data for a geometry-optimized Sm2Tm3Te6 structure, as listed in Alexandria via LeMat-Bulk.

Space group ... C2/m, No. 12
Uncorrected formation energy ... -1374 meV per atom
Volume ... 346.8 Å³/cell
Raw total energy ... -56.82 eV/cell

Cell: 7.5381 7.5022 7.5272 Å, 80.31 70.42 59.84°
With the nearest neighbours (Å) after each atom.
Element x y z (fractional)
1 Te 0.4170 0.6786 0.7523  3 Tm 3.02-3.09, 2 Sm 3.13-3.14
2 Te 0.7357 0.0000 0.7564  3 Tm 3.05-3.13, 2 Sm 3.10
3 Te 0.9044 0.6786 0.2477  3 Tm 3.02-3.09, 2 Sm 3.13-3.14
4 Te 0.0956 0.3214 0.7523  3 Tm 3.02-3.09, 2 Sm 3.13-3.14
5 Te 0.5830 0.3214 0.2477  3 Tm 3.02-3.09, 2 Sm 3.13-3.14
6 Te 0.2643 0.0000 0.2436  3 Tm 3.05-3.13, 2 Sm 3.10
7 Sm 0.1636 0.6728 0.5000  6 Te 3.10-3.14
8 Sm 0.8364 0.3272 0.5000  6 Te 3.10-3.14
9 Tm 0.6713 0.6574 0.0000  6 Te 3.03-3.09
10 Tm 0.3287 0.3426 0.0000  6 Te 3.03-3.09
11 Tm 0.0000 0.0000 0.0000  6 Te 3.02-3.13

First-principles (PBE-GGA) data for a geometry-optimized SmTm6Te8 structure, as listed in Alexandria via LeMat-Bulk.

Space group ... Fm-3m, No. 225
Uncorrected formation energy ... -1293 meV per atom
Volume ... 447.5 Å³/cell
Raw total energy ... -76.07 eV/cell

Cell: 8.5853 8.5853 8.5853 Å, 60.00 60.00 60.00°
With the nearest neighbours (Å) after each atom.
Element x y z (fractional)
1 Te 0.7388 0.2612 0.2612  4 Tm 3.04, 1 Sm 3.17
2 Te 0.2612 0.7388 0.2612  4 Tm 3.04, 1 Sm 3.17
3 Te 0.2500 0.2500 0.2500  6 Tm 3.04
4 Te 0.7500 0.7500 0.7500  6 Tm 3.04
5 Te 0.7388 0.7388 0.2612  4 Tm 3.04, 1 Sm 3.17
6 Te 0.7388 0.2612 0.7388  4 Tm 3.04, 1 Sm 3.17
7 Te 0.2612 0.7388 0.7388  4 Tm 3.04, 1 Sm 3.17
8 Te 0.2612 0.2612 0.7388  4 Tm 3.04, 1 Sm 3.17
9 Tm 0.0000 0.0000 0.5000  6 Te 3.04
10 Tm 0.5000 0.5000 0.0000  6 Te 3.04
11 Tm 0.5000 0.0000 0.5000  6 Te 3.04
12 Tm 0.0000 0.5000 0.5000  6 Te 3.04
13 Tm 0.5000 0.0000 0.0000  6 Te 3.04
14 Tm 0.0000 0.5000 0.0000  6 Te 3.04
15 Sm 0.0000 0.0000 0.0000  6 Te 3.17

First-principles (PBE-GGA) data for a geometry-optimized SmTm3Te3 structure, as listed in Alexandria via LeMat-Bulk.

Space group ... R-3, No. 148
Uncorrected formation energy ... -912 meV per atom
Volume ... 453.4 Å³/cell
Raw total energy ... -67.89 eV/cell

Cell: 7.1259 7.1259 11.1005 Å, 71.28 71.28 60.00°
With the nearest neighbours (Å) after each atom.
Element x y z (fractional)
1 Sm 0.6671 0.6671 0.9988  6 Te 3.09
2 Sm 0.3329 0.3329 0.0012  6 Te 3.09
3 Tm 0.8807 0.5291 0.3682  3 Te 3.03-3.07
4 Tm 0.2221 0.8807 0.3682  3 Te 3.03-3.07
5 Tm 0.7779 0.1193 0.6318  3 Te 3.03-3.07
6 Tm 0.1193 0.4709 0.6318  3 Te 3.03-3.07
7 Tm 0.4709 0.7779 0.6318  3 Te 3.03-3.07
8 Tm 0.5291 0.2221 0.3682  3 Te 3.03-3.07
9 Te 0.3762 0.0633 0.8159  3 Tm 3.03-3.07, 2 Sm 3.09
10 Te 0.7446 0.3762 0.8159  3 Tm 3.03-3.07, 2 Sm 3.09
11 Te 0.6238 0.9367 0.1841  3 Tm 3.03-3.07, 2 Sm 3.09
12 Te 0.2554 0.6238 0.1841  3 Tm 3.03-3.07, 2 Sm 3.09
13 Te 0.0633 0.7446 0.8159  3 Tm 3.03-3.07, 2 Sm 3.09
14 Te 0.9367 0.2554 0.1841  3 Tm 3.03-3.07, 2 Sm 3.09

First-principles (PBE-GGA) data for a geometry-optimized Sm3Tm2Te6 structure, as listed in Alexandria via LeMat-Bulk.

Space group ... R-3m, No. 166
Uncorrected formation energy ... -1343 meV per atom
Volume ... 362.9 Å³/cell
Raw total energy ... -56.73 eV/cell

Cell: 4.3719 4.3719 22.0706 Å, 84.32 84.32 60.00°
With the nearest neighbours (Å) after each atom.
Element x y z (fractional)
1 Te 0.0854 0.0854 0.7439  3 Tm 3.18, 3 Sm 3.19
2 Te 0.6386 0.6386 0.0843  6 Sm 3.11-3.13
3 Te 0.1950 0.1950 0.4152  3 Tm 2.97
4 Te 0.3614 0.3614 0.9157  6 Sm 3.11-3.13
5 Te 0.8050 0.8050 0.5848  3 Tm 2.97
6 Te 0.9146 0.9146 0.2561  3 Tm 3.18, 3 Sm 3.19
7 Sm 0.0000 0.0000 0.0000  6 Te 3.13
8 Sm 0.7224 0.7224 0.8328  6 Te 3.11-3.19
9 Sm 0.2776 0.2776 0.1672  6 Te 3.11-3.19
10 Tm 0.5519 0.5519 0.3442  6 Te 2.97-3.18
11 Tm 0.4481 0.4481 0.6558  6 Te 2.97-3.18

First-principles (PBE-GGA) data for a geometry-optimized SmTm2Te4 structure, as listed in Alexandria via LeMat-Bulk.

Space group ... Cmcm, No. 63
Uncorrected formation energy ... -1337 meV per atom
Volume ... 449.1 Å³/cell
Energy above the most stable polymorph in this dataset ... 29 meV/atom
Raw total energy ... -71.17 eV/cell

Cell: 4.2511 7.4216 14.8578 Å, 90.00 90.00 106.64°
With the nearest neighbours (Å) after each atom.
Element x y z (fractional)
1 Tm 0.8688 0.7376 0.9314  6 Te 3.00-3.09
2 Tm 0.1312 0.2624 0.4314  6 Te 3.00-3.09
3 Tm 0.1312 0.2624 0.0686  6 Te 3.00-3.09
4 Tm 0.8688 0.7376 0.5686  6 Te 3.00-3.09
5 Sm 0.3733 0.7466 0.2500  6 Te 3.16-3.19
6 Sm 0.6267 0.2534 0.7500  6 Te 3.16-3.19
7 Te 0.5000 0.0000 0.0000  4 Tm 3.01
8 Te 0.7758 0.5517 0.3806  3 Tm 3.05-3.09, 2 Sm 3.19
9 Te 0.5000 0.0000 0.5000  4 Tm 3.01
10 Te 0.2242 0.4483 0.8806  3 Tm 3.05-3.09, 2 Sm 3.19
11 Te 0.2242 0.4483 0.6194  3 Tm 3.05-3.09, 2 Sm 3.19
12 Te 0.9621 0.9241 0.7500  2 Tm 3.00, 2 Sm 3.16
13 Te 0.0379 0.0759 0.2500  2 Tm 3.00, 2 Sm 3.16
14 Te 0.7758 0.5517 0.1194  3 Tm 3.05-3.09, 2 Sm 3.19

First-principles (PBE-GGA) data for a geometry-optimized SmTmTe structure, as listed in Alexandria via LeMat-Bulk.

Space group ... C2/m, No. 12
Uncorrected formation energy ... -736 meV per atom
Volume ... 368.9 Å³/cell
Energy above the most stable polymorph in this dataset ... 33 meV/atom
Raw total energy ... -58.16 eV/cell

Cell: 3.9940 11.0873 8.5740 Å, 92.50 103.47 90.00°
With the nearest neighbours (Å) after each atom.
Element x y z (fractional)
1 Tm 0.2506 0.6666 0.5012  4 Te 3.22-3.49, 2 Tm 3.53
2 Tm 0.7494 0.3334 0.4988  4 Te 3.22-3.49, 2 Tm 3.53
3 Tm 0.1926 0.0809 0.3852  2 Te 2.97, 1 Sm 3.28
4 Tm 0.8074 0.9191 0.6148  2 Te 2.97, 1 Sm 3.28
5 Te 0.4275 0.8463 0.8551  2 Tm 2.97, 3 Sm 3.10-3.14
6 Te 0.5725 0.1537 0.1449  2 Tm 2.97, 3 Sm 3.10-3.14
7 Te 0.3805 0.4597 0.7609  3 Tm 3.22-3.23, 5 Sm 3.27-3.38
8 Te 0.6195 0.5403 0.2391  3 Tm 3.22-3.23, 5 Sm 3.27-3.38
9 Sm 0.3843 0.1598 0.7685  2 Te 3.14-3.33, 1 Tm 3.28
10 Sm 0.0234 0.3507 0.0469  6 Te 3.10-3.38, 1 Sm 3.44
11 Sm 0.6157 0.8402 0.2315  2 Te 3.14-3.33, 1 Tm 3.28
12 Sm 0.9766 0.6493 0.9531  6 Te 3.10-3.38, 1 Sm 3.44